# 1
First-principles (PBE-GGA) data for Li4MgSn2Pt after structural relaxation, as listed in OQMD via LeMat-Bulk.

Cell: 4.570 4.570 6.684 Å, 90.00 90.00 90.00°
Positions (direct):
Li1 0.500 0.500 0.000
Li2 0.500 0.000 0.284
Li3 0.000 0.000 0.500
Li4 0.000 0.500 0.716
Mg1 0.000 0.000 0.000
Pt1 0.500 0.500 0.500
Sn1 0.000 0.500 0.268
Sn2 0.500 0.000 0.732

crystal system: tetragonal
size of the total moment: 0.0 μB per formula unit

# 2
First-principles (PBE-GGA) data for LaInNi after structural relaxation, as listed in OQMD via LeMat-Bulk.

Cell: 8.759 8.759 3.270 Å, 90.00 90.00 120.00°
Positions (direct):
In1 0.667 0.333 0.000
In2 0.333 0.667 0.000
In3 0.000 0.000 0.500
La1 0.307 0.000 0.000
La2 0.000 0.307 0.000
La3 0.693 0.693 0.000
Ni1 0.589 0.000 0.500
Ni2 0.411 0.411 0.500
Ni3 0.000 0.589 0.500

crystal system: hexagonal
size of the total moment: 0.0 μB per formula unit

# 3
First-principles (PBE-GGA) data for Ag5PS4F2 after structural relaxation, as listed in OQMD via LeMat-Bulk.

Cell: 7.089 6.268 6.268 Å, 123.79 90.00 90.00°
Positions (direct):
Ag1 0.240 0.928 0.323
Ag2 0.760 0.928 0.323
Ag3 0.500 0.638 0.638
Ag4 0.240 0.323 0.928
Ag5 0.760 0.323 0.928
F1 0.500 0.711 0.053
F2 0.500 0.053 0.711
P1 0.000 0.529 0.529
S1 0.244 0.337 0.337
S2 0.756 0.337 0.337
S3 0.000 0.892 0.594
S4 0.000 0.594 0.892

crystal system: orthorhombic

# 4
First-principles (PBE-GGA) data for LiSiIr2 after structural relaxation, as listed in OQMD via LeMat-Bulk.

Cell: 4.106 4.106 7.914 Å, 90.00 90.00 120.00°
Positions (direct):
Ir1 0.667 0.333 0.088
Ir2 0.667 0.333 0.412
Ir3 0.333 0.667 0.588
Ir4 0.333 0.667 0.912
Li1 0.333 0.667 0.250
Li2 0.667 0.333 0.750
Si1 0.000 0.000 0.000
Si2 0.000 0.000 0.500

crystal system: hexagonal
size of the total moment: 0.0 μB per formula unit

One value per record, in order, for electronic total energy: -3.39, -4.31, -3.79, -6.60 eV per atom.